Ti3Ga4Ge: relaxed, PBE.

Properties
The energy relative to the elements comes out at -359 meV/atom.

a b c (Å): 8.8432 5.4202 5.3774
angles (deg): 90.00 90.00 90.00
With the nearest neighbours (Å) after each atom.
Fractional positions:
Ti 0.0000 0.1059 0.0000  2 Ge 2.62-2.82, 5 Ga 2.72-2.85
Ti 0.2241 0.6330 0.7315  2 Ge 2.62-2.89, 5 Ga 2.72-2.81
Ti 0.2759 0.3670 0.2315  2 Ge 2.62-2.89, 5 Ga 2.72-2.81
Ti 0.5000 0.8941 0.5000  2 Ge 2.62-2.82, 5 Ga 2.72-2.85
Ti 0.7241 0.3670 0.2315  2 Ge 2.62-2.89, 5 Ga 2.72-2.81
Ti 0.7759 0.6330 0.7315  2 Ge 2.62-2.89, 5 Ga 2.72-2.81
Ga 0.0000 0.3864 0.4904  2 Ga 2.59-2.83, 1 Ge 2.63, 4 Ti 2.72-2.81
Ga 0.0000 0.9081 0.5087  6 Ga 2.59-2.84, 3 Ti 2.75-2.85
Ga 0.2424 0.8661 0.2266  3 Ga 2.64-2.95, 5 Ti 2.72-2.95, 1 Ge 2.80
Ga 0.2576 0.1339 0.7266  3 Ga 2.64-2.95, 5 Ti 2.72-2.95, 1 Ge 2.80
Ga 0.5000 0.0919 0.0087  6 Ga 2.59-2.84, 3 Ti 2.75-2.85
Ga 0.5000 0.6136 0.9904  2 Ga 2.59-2.83, 1 Ge 2.63, 4 Ti 2.72-2.81
Ga 0.7424 0.1339 0.7266  3 Ga 2.64-2.95, 5 Ti 2.72-2.95, 1 Ge 2.80
Ga 0.7576 0.8661 0.2266  3 Ga 2.64-2.95, 5 Ti 2.72-2.95, 1 Ge 2.80
Ge 0.0000 0.5869 0.0455  6 Ti 2.62-2.89, 3 Ga 2.63-2.80
Ge 0.5000 0.4131 0.5455  6 Ti 2.62-2.89, 3 Ga 2.63-2.80

=====

YRh2C: relaxed, PBE.

Properties
The energy relative to the elements comes out at -313 meV/atom.

a b c (Å): 5.5914 5.5914 5.5914
angles (deg): 103.58 103.58 122.04
With the nearest neighbours (Å) after each atom.
Fractional positions:
Y 0.0000 0.0000 0.0000  2 C 2.71, 4 Rh 2.78
Y 0.7500 0.2500 0.5000  2 C 2.71, 4 Rh 2.78
Rh 0.2639 0.6250 0.1389  2 C 2.01
Rh 0.3750 0.5139 0.6389  2 C 2.01
Rh 0.4861 0.1250 0.8611  2 C 2.01
Rh 0.8750 0.7361 0.3611  2 C 2.01
C 0.2500 0.7500 0.5000  4 Rh 2.01
C 0.5000 0.5000 0.0000  4 Rh 2.01

=====

Na3Dy3GeS8: relaxed, PBE.

Properties
The value obtained for the formation energy without anion corrections is -1.466 eV/atom.

a b c (Å): 8.1207 8.1207 8.1207
angles (deg): 57.48 57.48 57.48
With the nearest neighbours (Å) after each atom.
Fractional positions:
Na 0.0000 0.5000 0.5000  6 S 2.91-2.92
Na 0.5000 0.0000 0.5000  6 S 2.91-2.92
Na 0.5000 0.5000 0.0000  6 S 2.91-2.92
Dy 0.0000 0.0000 0.5000  6 S 2.72-2.76
Dy 0.0000 0.5000 0.0000  6 S 2.72-2.76
Dy 0.5000 0.0000 0.0000  6 S 2.72-2.76
Ge 0.5000 0.5000 0.5000  6 S 2.49
S 0.2418 0.2418 0.2418  3 Dy 2.72, 3 Na 2.92
S 0.2679 0.7217 0.7217  1 Ge 2.49, 2 Dy 2.76
S 0.2783 0.2783 0.7321  1 Ge 2.49, 2 Dy 2.76
S 0.2783 0.7321 0.2783  1 Ge 2.49, 2 Dy 2.76
S 0.7217 0.2679 0.7217  1 Ge 2.49, 2 Dy 2.76
S 0.7217 0.7217 0.2679  1 Ge 2.49, 2 Dy 2.76
S 0.7321 0.2783 0.2783  1 Ge 2.49, 2 Dy 2.76
S 0.7582 0.7582 0.7582  3 Dy 2.72, 3 Na 2.92